A.
A plane-wave DFT calculation with PBE-GGA was carried out for a relaxed structure of CaTa3Bi.

```
5
Lattice="4.8837 0.0000 0.0000 0.0000 4.8837 0.0000 0.0000 0.0000 4.8837" Properties=species:S:1:pos:R:3 pbc="T T T"
Ca 0.0000 0.0000 0.0000
Ta 0.0000 0.0000 2.4418
Ta 0.0000 2.4418 0.0000
Ta 2.4418 0.0000 0.0000
Bi 2.4418 2.4418 2.4418
```



B.
A plane-wave DFT calculation with PBE-GGA was carried out for a relaxed structure of CaTa3Bi.

```
5
Lattice="5.2344 0.0000 0.0000 0.0000 5.2344 0.0000 0.0000 0.0000 5.2344" Properties=species:S:1:pos:R:3 pbc="T T T"
Ca 0.0000 0.0000 0.0000
Ta 0.0000 2.6172 2.6172
Ta 2.6172 0.0000 2.6172
Ta 2.6172 2.6172 0.0000
Bi 2.6172 2.6172 2.6172
```



Stability check: which of them is least stable? A.



A.
A plane-wave DFT calculation with PBE-GGA was carried out for a relaxed structure of CaZrTa2Bi.

```
5
Lattice="5.2222 0.0000 0.0000 0.0000 5.2222 0.0000 0.0000 0.0000 5.4308" Properties=species:S:1:pos:R:3 pbc="T T T"
Ca 0.0000 0.0000 0.0000
Zr 2.6111 2.6111 0.0000
Ta 0.0000 2.6111 2.7154
Ta 2.6111 0.0000 2.7154
Bi 0.0000 0.0000 2.7154
```



B.
A plane-wave DFT calculation with PBE-GGA was carried out for a relaxed structure of CaZrTa2Bi.

```
5
Lattice="4.8488 0.0000 0.0000 0.0000 4.8488 0.0000 0.0000 0.0000 5.3846" Properties=species:S:1:pos:R:3 pbc="T T T"
Ca 0.0000 0.0000 0.0000
Zr 2.4244 2.4244 2.6923
Ta 0.0000 2.4244 0.0000
Ta 2.4244 0.0000 0.0000
Bi 0.0000 0.0000 2.6923
```



Stability check: which of them is least stable? B.